# La6N5O | the Alexandria database | PBE | optimized geometry
data_La6N5O
_space_group_name_H-M_alt 'C 1 2/m 1'
_space_group_IT_number 12
_cell_length_a 6.4688
_cell_length_b 11.2039
_cell_length_c 6.4672
_cell_angle_alpha 90.00
_cell_angle_beta 109.52
_cell_angle_gamma 90.00
loop_
_space_group_symop_operation_xyz
'x,y,z'
'-x,-y,-z'
'-x,y,-z'
'x,-y,z'
'x+1/2,y+1/2,z'
'-x+1/2,-y+1/2,-z'
'-x+1/2,y+1/2,-z'
'x+1/2,-y+1/2,z'
loop_
_atom_site_label
_atom_site_fract_x
_atom_site_fract_y
_atom_site_fract_z
La1 0.2465 0.0000 0.2524
La2 0.2479 0.1684 0.7484
N1 0.0000 0.0000 0.5000
N2 0.0000 0.1654 0.0000
N3 0.0000 0.3300 0.5000
O1 0.0000 0.5000 0.0000
# Formation energy from raw total energies   -1629 meV/atom
# Final energy   -7.98 eV/atom